A geometry-optimized CrAsOs2 structure. Source: Alexandria via LeMat-Bulk, functional PBE.

a = 2.8835 Å, b = 4.3542 Å, c = 4.5086 Å
α = 90.00°, β = 90.00°, γ = 90.00°
Last column: nearest neighbours and their distance in Å.
Space group Pmmm (No. 47)
Inequivalent atoms, fractional coordinates:
1 Cr 0.0000 0.0000 0.0000  4 Os 2.61, 4 As 2.68, 2 Cr 2.88
2 As 0.5000 0.0000 0.5000  4 Os 2.61, 4 Cr 2.68, 2 As 2.88
3 Os 0.0000 0.5000 0.5000  4 As 2.61, 6 Os 2.68-2.88
4 Os 0.5000 0.5000 0.0000  4 Cr 2.61, 6 Os 2.68-2.88

Output
* VASP energy: -8.756 eV per atom

A geometry-optimized Cr2AsOs structure. Source: Alexandria via LeMat-Bulk, functional PBE.

a = 2.7457 Å, b = 2.7457 Å, c = 24.5941 Å
α = 90.00°, β = 90.00°, γ = 120.00°
Last column: nearest neighbours and their distance in Å.
Space group R-3m (No. 166, hexagonal axes)
Inequivalent atoms, fractional coordinates:
1 Cr 0.0000 0.0000 0.2486  3 As 2.56, 3 Os 2.62, 6 Cr 2.75
2 As 0.0000 0.0000 0.5000  6 Cr 2.56, 6 As 2.75
3 Os 0.0000 0.0000 0.0000  6 Cr 2.62, 6 Os 2.75

Output
* VASP energy: -8.547 eV per atom

A geometry-optimized Cr2AsOs structure. Source: Alexandria via LeMat-Bulk, functional PBE.

a = 3.6681 Å, b = 3.6681 Å, c = 7.8618 Å
α = 90.00°, β = 90.00°, γ = 90.00°
Last column: nearest neighbours and their distance in Å.
Space group I-4m2 (No. 119)
Inequivalent atoms, fractional coordinates:
1 Cr 0.0000 0.0000 0.0000  4 As 2.59, 4 Cr 2.69, 4 Os 2.69
2 Cr 0.0000 0.5000 0.2500  4 Os 2.59, 4 Cr 2.69, 4 As 2.69
3 As 0.0000 0.0000 0.5000  8 Cr 2.59-2.69, 4 Os 2.69
4 Os 0.0000 0.5000 0.7500  8 Cr 2.59-2.69, 4 As 2.69

Output
* VASP energy: -8.539 eV per atom

A geometry-optimized CrAsOs2 structure. Source: Alexandria via LeMat-Bulk, functional PBE.

a = 2.7956 Å, b = 3.9965 Å, c = 5.2487 Å
α = 90.00°, β = 103.83°, γ = 90.00°
Last column: nearest neighbours and their distance in Å.
Space group P2/m (No. 10)
Inequivalent atoms, fractional coordinates:
1 Cr 0.0000 0.0000 0.0000  2 As 2.62, 8 Os 2.74-2.78, 2 Cr 2.80
2 As 0.0000 0.0000 0.5000  4 Os 2.47, 2 Cr 2.62
3 Os 0.3709 0.5000 0.7469  2 As 2.47, 1 Os 2.58, 2 Cr 2.74

Output
* VASP energy: -8.863 eV per atom

A geometry-optimized Cr3AsOs structure. Source: Alexandria via LeMat-Bulk, functional PBE.

a = 4.2579 Å, b = 4.2579 Å, c = 4.2579 Å
α = 90.00°, β = 90.00°, γ = 90.00°
Last column: nearest neighbours and their distance in Å.
Space group Pm-3m (No. 221)
Inequivalent atoms, fractional coordinates:
1 Cr 0.0000 0.0000 0.5000  2 As 2.13
2 As 0.0000 0.0000 0.0000  6 Cr 2.13
3 Os 0.5000 0.5000 0.5000  12 Cr 3.01

Output
* VASP energy: -7.579 eV per atom
* E above lowest polymorph: 0.127 eV/atom

A geometry-optimized Cr2AsOs structure. Source: Alexandria via LeMat-Bulk, functional PBE.

a = 2.7895 Å, b = 2.7895 Å, c = 24.1254 Å
α = 90.00°, β = 90.00°, γ = 120.00°
Last column: nearest neighbours and their distance in Å.
Space group R3m (No. 160, hexagonal axes)
Inequivalent atoms, fractional coordinates:
1 Cr 0.0000 0.0000 0.0000  3 Cr 2.43, 3 Os 2.56
2 Cr 0.0000 0.0000 0.2577  3 Cr 2.43, 3 As 2.51
3 As 0.0000 0.0000 0.5110  3 Cr 2.51, 6 As 2.79, 3 Os 2.80
4 Os 0.0000 0.0000 0.7493  3 Cr 2.56, 6 Os 2.79, 3 As 2.80

Output
* VASP energy: -8.482 eV per atom

A geometry-optimized CrAs2Os structure. Source: Alexandria via LeMat-Bulk, functional PBE.

a = 3.1729 Å, b = 4.0877 Å, c = 5.0501 Å
α = 90.00°, β = 90.08°, γ = 90.00°
Last column: nearest neighbours and their distance in Å.
Space group P2/m (No. 10)
Inequivalent atoms, fractional coordinates:
1 Cr 0.0000 0.0000 0.0000  4 As 2.64
2 As 0.3708 0.5000 0.7648  2 Os 2.48, 1 As 2.51, 2 Cr 2.64
3 Os 0.5000 0.0000 0.5000  4 As 2.48

Output
* VASP energy: -7.130 eV per atom
* E above lowest polymorph: 0.329 eV/atom

A geometry-optimized CrAsOs3 structure. Source: Alexandria via LeMat-Bulk, functional PBE.

a = 4.4628 Å, b = 4.4628 Å, c = 4.4628 Å
α = 90.00°, β = 90.00°, γ = 90.00°
Last column: nearest neighbours and their distance in Å.
Space group Pm-3m (No. 221)
Inequivalent atoms, fractional coordinates:
1 Cr 0.0000 0.0000 0.0000  6 Os 2.23
2 As 0.5000 0.5000 0.5000  12 Os 3.16
3 Os 0.0000 0.0000 0.5000  2 Cr 2.23

Output
* VASP energy: -7.812 eV per atom
* E above lowest polymorph: 0.000 eV/atom